Entry 1:
Here is a relaxed structure of Rb2SmBr4 from the Alexandria database. Energies are from PBE.

Unit cell a=5.742 b=5.742 c=9.680 alpha=107.25 beta=107.25 gamma=90.00
Last column: magnetic moment on the atom in μB.
Fractional positions:
Sm  0.000  0.000  0.000  0.24
Br  0.167  0.167  0.334  0.01
Br  0.500  0.000  0.000  0.00
Br  0.833  0.833  0.666  0.01
Br  0.000  0.500  0.000  0.00
Rb  0.639  0.639  0.278  0.00
Rb  0.361  0.361  0.722  0.00

Calculated values
Formation energy from raw total energies, kJ/mol of formula units: -1093
Magnetic moment, μB/cell: 0.47

Entry 2:
Here is a relaxed structure of PaPdPtN from the Alexandria database. Energies are from PBE.

Unit cell a=4.099 b=4.099 c=7.544 alpha=90.00 beta=90.00 gamma=90.00
Fractional positions:
Pd  0.000  0.500  0.767
Pd  0.500  0.000  0.233
N  0.500  0.500  0.500
N  0.000  0.000  0.500
Pa  0.000  0.500  0.345
Pa  0.500  0.000  0.655
Pt  0.500  0.500  0.000
Pt  0.000  0.000  0.000

Calculated values
Formation energy from raw total energies, kJ/mol of formula units: -355
Magnetic moment, μB/cell: 0.00

Entry 3:
Here is a relaxed structure of BaLi4Co from the Alexandria database. Energies are from PBE.

Unit cell a=5.689 b=5.689 c=5.689 alpha=60.00 beta=60.00 gamma=60.00
Last column: magnetic moment on the atom in μB.
Fractional positions:
Co  0.000  0.000  0.000  1.65
Li  0.371  0.888  0.371  -0.02
Li  0.371  0.371  0.371  -0.02
Li  0.371  0.371  0.888  -0.02
Li  0.888  0.371  0.371  -0.02
Ba  0.750  0.750  0.750  -0.08

Calculated values
Magnetic moment, μB/cell: 1.09
E_form, eV per atom: 0.36

Entry 4:
Here is a relaxed structure of ZrSc2Tl from the Alexandria database. Energies are from PBE.

Unit cell a=6.720 b=6.720 c=6.720 alpha=55.11 beta=152.51 gamma=133.23
Last column: magnetic moment on the atom in μB.
Fractional positions:
Sc  0.000  0.745  0.745  0.37
Sc  0.000  0.255  0.255  0.37
Zr  0.000  0.000  0.000  0.65
Tl  0.000  0.500  0.500  0.01

Calculated values
Relative energy among the computed polymorphs, eV per atom: 0.485
Magnetic moment, μB/cell: 2.13
E_form, eV per atom: 0.32

Entry 5:
Here is a relaxed structure of Tb5U3N8 from the Alexandria database. Energies are from PBE.

Unit cell a=6.922 b=6.922 c=6.945 alpha=60.11 beta=60.11 gamma=60.00
Last column: magnetic moment on the atom in μB.
Fractional positions:
N  0.232  0.750  0.268  -0.03
N  0.250  0.768  0.732  -0.03
N  0.250  0.250  0.732  -0.03
N  0.768  0.250  0.732  -0.03
N  0.245  0.245  0.266  -0.04
N  0.750  0.232  0.268  -0.03
N  0.755  0.755  0.734  -0.04
N  0.750  0.750  0.268  -0.03
U  0.500  0.000  0.500  1.01
U  0.000  0.500  0.500  1.01
U  0.000  0.000  0.500  1.01
Tb  0.500  0.500  0.500  0.01
Tb  0.000  0.500  0.000  0.04
Tb  0.000  0.000  0.000  0.03
Tb  0.500  0.500  0.000  0.04
Tb  0.500  0.000  0.000  0.04

Calculated values
Formation energy from raw total energies, kJ/mol of formula units: -2384
Magnetic moment, μB/cell: 3.19

Entry 6:
Here is a relaxed structure of Sr2RePbW from the Alexandria database. Energies are from PBE.

Unit cell a=5.989 b=4.682 c=5.989 alpha=90.00 beta=90.00 gamma=90.00
Fractional positions:
Pb  0.500  0.500  0.500
Sr  0.000  0.000  0.500
Sr  0.500  0.000  0.000
Re  0.000  0.000  0.000
W  0.000  0.500  0.000

Calculated values
Magnetic moment, μB/cell: 0.00
E_form, eV per atom: 1.01

Entry 7:
Here is a relaxed structure of Mg4Si3 from the Alexandria database. Energies are from PBE.

Unit cell a=6.534 b=7.079 c=7.411 alpha=59.83 beta=74.90 gamma=69.78
Fractional positions:
Mg  0.422  0.848  0.546
Mg  0.779  0.229  0.128
Mg  0.112  0.321  0.283
Mg  0.804  0.397  0.672
Mg  0.779  0.990  0.623
Mg  0.467  0.533  0.318
Mg  0.121  0.868  0.956
Mg  0.463  0.049  0.018
Si  0.140  0.522  0.723
Si  0.802  0.662  0.026
Si  0.405  0.487  0.927
Si  0.794  0.777  0.301
Si  0.114  0.869  0.344
Si  0.299  0.199  0.635

Calculated values
Relative energy among the computed polymorphs, eV per atom: 0.084
Formation energy from raw total energies, kJ/mol of formula units: 35
Magnetic moment, μB/cell: 0.00

Entry 8:
Here is a relaxed structure of KHf2P from the Alexandria database. Energies are from PBE.

Unit cell a=5.370 b=5.370 c=9.827 alpha=74.14 beta=74.14 gamma=90.00
Fractional positions:
Hf  0.375  0.612  0.750
Hf  0.388  0.125  0.250
Hf  0.362  0.625  0.250
Hf  0.875  0.638  0.750
P  0.500  0.500  0.000
P  0.250  0.750  0.500
K  0.000  0.000  0.000
K  0.750  0.250  0.500

Calculated values
Magnetic moment, μB/cell: 0.00
E_form, eV per atom: 0.58

Entry 9:
Here is a relaxed structure of PmNd4Dy2 from the Alexandria database. Energies are from PBE.

Unit cell a=6.210 b=6.693 c=11.836 alpha=90.00 beta=105.04 gamma=90.00
Fractional positions:
Nd  0.354  0.004  0.714
Nd  0.016  0.750  0.855
Nd  0.646  0.504  0.286
Nd  0.646  0.996  0.286
Nd  0.149  0.750  0.445
Nd  0.354  0.496  0.714
Nd  0.851  0.250  0.555
Nd  0.984  0.250  0.145
Dy  0.710  0.750  0.568
Dy  0.598  0.750  0.998
Dy  0.290  0.250  0.432
Dy  0.402  0.250  0.002
Pm  0.845  0.250  0.844
Pm  0.155  0.750  0.156

Calculated values
Relative energy among the computed polymorphs, eV per atom: 0.059
Magnetic moment, μB/cell: 0.00
E_form, eV per atom: 0.12

Entry 10:
Here is a relaxed structure of LaSb3Rh from the Alexandria database. Energies are from PBE.

Unit cell a=5.949 b=5.949 c=5.949 alpha=90.00 beta=90.00 gamma=90.00
Last column: magnetic moment on the atom in μB.
Fractional positions:
Sb  0.500  0.000  0.000  0.01
Sb  0.000  0.000  0.500  0.00
Sb  0.000  0.500  0.000  0.01
Rh  0.500  0.500  0.500  1.34
La  0.000  0.000  0.000  0.02

Calculated values
Formation energy from raw total energies, kJ/mol of formula units: 586
Magnetic moment, μB/cell: 1.52

Entry 11:
Here is a relaxed structure of LiCa2MgRe from the Alexandria database. Energies are from PBE.

Unit cell a=5.217 b=4.793 c=5.217 alpha=90.00 beta=90.00 gamma=90.00
Last column: magnetic moment on the atom in μB.
Fractional positions:
Ca  0.000  0.000  0.500  -0.03
Ca  0.500  0.000  0.000  -0.04
Li  0.000  0.000  0.000  -0.03
Mg  0.000  0.500  0.000  -0.03
Re  0.500  0.500  0.500  2.25

Calculated values
Magnetic moment, μB/cell: 2.17
E_form, eV per atom: 1.18

Entry 12:
Here is a relaxed structure of Y3HgN from the Alexandria database. Energies are from PBE.

Unit cell a=3.405 b=8.347 c=8.347 alpha=131.58 beta=90.00 gamma=90.00
Last column: magnetic moment on the atom in μB.
Fractional positions:
Y  0.500  0.197  0.340  0.12
Y  0.500  0.660  0.803  0.11
Y  0.000  0.260  0.740  0.23
N  0.000  0.420  0.580  0.00
Hg  0.500  0.091  0.909  0.01

Calculated values
Formation energy from raw total energies, kJ/mol of formula units: -107
Magnetic moment, μB/cell: 0.93